No. 1
# PBE-GGA LiPrMgCd, relaxed
# - energy of formation (eV/atom) = -0.228
# - volume (A^3/atom) = 24.22
# - size of the total moment (μB/cell) = 0.0
# - space group = No. 216
data_LiPrMgCd
_cell_length_a 5.155
_cell_length_b 5.155
_cell_length_c 5.155
_cell_angle_alpha 60.00
_cell_angle_beta 60.00
_cell_angle_gamma 60.00
_space_group_name_H-M_alt 'P 1'
_space_group_IT_number 1
loop_
_space_group_symop_operation_xyz
'x,y,z'
loop_
_atom_site_label
_atom_site_type_symbol
_atom_site_fract_x
_atom_site_fract_y
_atom_site_fract_z
Li1 Li 0.000 0.000 0.000
Pr1 Pr 0.750 0.750 0.750
Mg1 Mg 0.250 0.250 0.250
Cd1 Cd 0.500 0.500 0.500

=====

No. 2
# PBE-GGA LiPrMg2Cd4, relaxed
# - energy of formation (eV/atom) = -0.242
# - volume (A^3/atom) = 22.93
# - size of the total moment (μB/cell) = 0.0
# - space group = No. 166
data_LiPrMg2Cd4
_cell_length_a 9.179
_cell_length_b 9.179
_cell_length_c 9.179
_cell_angle_alpha 31.13
_cell_angle_beta 31.13
_cell_angle_gamma 31.13
_space_group_name_H-M_alt 'P 1'
_space_group_IT_number 1
loop_
_space_group_symop_operation_xyz
'x,y,z'
loop_
_atom_site_label
_atom_site_type_symbol
_atom_site_fract_x
_atom_site_fract_y
_atom_site_fract_z
Li1 Li 0.000 0.000 0.000
Pr1 Pr 0.500 0.500 0.500
Mg1 Mg 0.253 0.253 0.253
Mg2 Mg 0.747 0.747 0.747
Cd1 Cd 0.110 0.110 0.110
Cd2 Cd 0.369 0.369 0.369
Cd3 Cd 0.631 0.631 0.631
Cd4 Cd 0.890 0.890 0.890

=====

No. 3
# PBE-GGA Li2Pr2Mg5Cd, relaxed
# - energy of formation (eV/atom) = -0.070
# - volume (A^3/atom) = 24.51
# - size of the total moment (μB/cell) = 0.0
# - space group = No. 127
data_Li2Pr2Mg5Cd
_cell_length_a 10.445
_cell_length_b 10.445
_cell_length_c 4.492
_cell_angle_alpha 90.00
_cell_angle_beta 90.00
_cell_angle_gamma 90.00
_space_group_name_H-M_alt 'P 1'
_space_group_IT_number 1
loop_
_space_group_symop_operation_xyz
'x,y,z'
loop_
_atom_site_label
_atom_site_type_symbol
_atom_site_fract_x
_atom_site_fract_y
_atom_site_fract_z
Li1 Li 0.113 0.387 0.000
Li2 Li 0.387 0.887 0.000
Li3 Li 0.613 0.113 0.000
Li4 Li 0.887 0.613 0.000
Pr1 Pr 0.182 0.682 0.000
Pr2 Pr 0.318 0.182 0.000
Pr3 Pr 0.682 0.818 0.000
Pr4 Pr 0.818 0.318 0.000
Mg1 Mg 0.000 0.500 0.500
Mg2 Mg 0.061 0.206 0.500
Mg3 Mg 0.206 0.939 0.500
Mg4 Mg 0.294 0.439 0.500
Mg5 Mg 0.439 0.706 0.500
Mg6 Mg 0.500 0.000 0.500
Mg7 Mg 0.561 0.294 0.500
Mg8 Mg 0.706 0.561 0.500
Mg9 Mg 0.794 0.061 0.500
Mg10 Mg 0.939 0.794 0.500
Cd1 Cd 0.000 0.000 0.000
Cd2 Cd 0.500 0.500 0.000

=====

No. 4
# PBE-GGA Li2Pr2MgCd5, relaxed
# - energy of formation (eV/atom) = -0.254
# - volume (A^3/atom) = 23.21
# - size of the total moment (μB/cell) = 0.0
# - space group = No. 127
data_Li2Pr2MgCd5
_cell_length_a 10.675
_cell_length_b 10.675
_cell_length_c 4.074
_cell_angle_alpha 90.00
_cell_angle_beta 90.00
_cell_angle_gamma 90.00
_space_group_name_H-M_alt 'P 1'
_space_group_IT_number 1
loop_
_space_group_symop_operation_xyz
'x,y,z'
loop_
_atom_site_label
_atom_site_type_symbol
_atom_site_fract_x
_atom_site_fract_y
_atom_site_fract_z
Li1 Li 0.116 0.384 0.000
Li2 Li 0.384 0.884 0.000
Li3 Li 0.616 0.116 0.000
Li4 Li 0.884 0.616 0.000
Pr1 Pr 0.182 0.682 0.000
Pr2 Pr 0.318 0.182 0.000
Pr3 Pr 0.682 0.818 0.000
Pr4 Pr 0.818 0.318 0.000
Mg1 Mg 0.000 0.000 0.000
Mg2 Mg 0.500 0.500 0.000
Cd1 Cd 0.000 0.500 0.500
Cd2 Cd 0.057 0.207 0.500
Cd3 Cd 0.207 0.943 0.500
Cd4 Cd 0.293 0.443 0.500
Cd5 Cd 0.443 0.707 0.500
Cd6 Cd 0.500 0.000 0.500
Cd7 Cd 0.557 0.293 0.500
Cd8 Cd 0.707 0.557 0.500
Cd9 Cd 0.793 0.057 0.500
Cd10 Cd 0.943 0.793 0.500